Computed, not measured: a geometry-optimized RbNaAgRh2 structure at the PBE level of DFT.

- ρ (Mg/m³) = 5.08
- space group = No. 123
- raw total energy (eV/atom) = -3.080
- ΔH_f (0 K) (eV per atom) = 0.889

Cell and atoms, written as extended XYZ:
```
5
Lattice="5.077 0.000 0.000 0.000 5.077 0.000 0.000 0.000 5.352" Properties=species:S:1:pos:R:3 pbc="T T T"
Rb 0.000 0.000 0.000
Na 2.539 2.539 0.000
Ag 2.539 2.539 2.676
Rh 0.000 2.539 2.676
Rh 2.539 0.000 2.676
```



Computed, not measured: a geometry-optimized RbNa2AgSb structure at the PBE level of DFT.

- ρ (Mg/m³) = 3.01
- space group = No. 123
- raw total energy (eV/atom) = -2.234
- formation energy without anion corrections (eV per atom) = -0.118

Cell and atoms, written as extended XYZ:
```
5
Lattice="5.996 0.000 0.000 0.000 5.996 0.000 0.000 0.000 5.534" Properties=species:S:1:pos:R:3 pbc="T T T"
Rb 0.000 0.000 0.000
Na 0.000 2.998 2.767
Na 2.998 0.000 2.767
Ag 2.998 2.998 0.000
Sb 2.998 2.998 2.767
```



Computed, not measured: a geometry-optimized RbNaSiAg2 structure at the PBE level of DFT.

- ρ (Mg/m³) = 4.17
- space group = No. 123
- raw total energy (eV/atom) = -2.631
- formation energy without anion corrections (eV per atom) = 0.052

Cell and atoms, written as extended XYZ:
```
5
Lattice="5.004 0.000 0.000 0.000 5.004 0.000 0.000 0.000 5.606" Properties=species:S:1:pos:R:3 pbc="T T T"
Rb 0.000 0.000 0.000
Na 2.502 2.502 0.000
Si 2.502 2.502 2.803
Ag 0.000 2.502 2.803
Ag 2.502 0.000 2.803
```



Computed, not measured: a geometry-optimized RbNaAg2Sn structure at the PBE level of DFT.

- ρ (Mg/m³) = 4.31
- space group = No. 123
- raw total energy (eV/atom) = -2.394
- ΔH_f (0 K) (eV per atom) = 0.005

Cell and atoms, written as extended XYZ:
```
5
Lattice="5.395 0.000 0.000 0.000 5.395 0.000 0.000 0.000 5.862" Properties=species:S:1:pos:R:3 pbc="T T T"
Rb 0.000 0.000 0.000
Na 2.697 2.697 0.000
Ag 0.000 2.697 2.931
Ag 2.697 0.000 2.931
Sn 2.697 2.697 2.931
```